Below is a relaxed Mn3FeCl2F6 crystal, with properties calculated at the PBE+U level.

Structure (POSCAR):
```
Mn3FeCl2F6
1.0
5.1361 0.0000 0.6698
0.0000 6.4855 0.0000
0.1744 -3.2427 5.8153
Mn Fe Cl F
3 1 2 6
Direct
0.0000 0.5000 0.0000 Mn
0.5000 0.5000 0.5000 Mn
0.5000 0.0000 0.5000 Mn
0.5000 0.0000 0.0000 Fe
0.1858 0.6856 0.3711 Cl
0.8142 0.3144 0.6289 Cl
0.7210 0.3214 0.1422 F
0.2790 0.6786 0.8578 F
0.6674 0.8260 0.6521 F
0.3326 0.1740 0.3479 F
0.2790 0.1792 0.8578 F
0.7210 0.8208 0.1422 F
```

Values from the calculation:
The value obtained for the total energy is -69.5 eV per cell. Its space group is No. 12.